Material: Ac2HfPdS6
Method: DFT, PBE-GGA
State: relaxed

Cell lengths 6.6490, 6.8785, 11.4469 Å; angles 90.00, 90.00, 90.00 degrees
Atoms (fractional coordinates):
1 Hf 0.5000 0.2046 0.5000
2 Hf 0.0000 0.7954 0.0000
3 S 0.2695 0.0433 0.0000
4 S 0.5000 0.2067 0.7246
5 S 0.2305 0.9567 0.5000
6 S 0.0000 0.7933 0.2246
7 S 0.7283 0.5531 0.0000
8 S 0.2283 0.4469 0.5000
9 S 0.7305 0.0433 0.0000
10 S 0.7695 0.9567 0.5000
11 S 0.2717 0.5531 0.0000
12 S 0.7717 0.4469 0.5000
13 S 0.5000 0.2067 0.2754
14 S 0.0000 0.7933 0.7754
15 Ac 0.5000 0.8004 0.1810
16 Ac 0.5000 0.8004 0.8190
17 Ac 0.0000 0.1996 0.3190
18 Ac 0.0000 0.1996 0.6810
19 Pd 0.0000 0.7009 0.5000
20 Pd 0.5000 0.2991 0.0000

## Properties
Total moment in μB per cell: 0.0
Space-group type: Pmmn
Uncorrected formation energy in eV/atom: -1.411